(1)
VASP calculation (GGA-PBE) on a relaxed LiHo2Bi crystal.

Results
As for the formation energy: -0.2706 eV per atom. The calculation puts the relative energy among the computed polymorphs at 86.8 meV/atom.

a = 7.477 Å, b = 7.477 Å, c = 7.477 Å
α = 90.00°, β = 90.00°, γ = 90.00°
Space group Fm-3m (No. 225)
Unique sites:
Li 0.000 0.000 0.000 [4 per cell]
Ho 0.250 0.250 0.250 [8 per cell]
Bi 0.000 0.000 0.500 [4 per cell]

(2)
VASP calculation (GGA-PBE) on a relaxed Be2IF crystal.

Results
For the uncorrected formation energy, the calculation gives 335 meV per atom. The calculation puts the relative energy among the computed polymorphs at 473.8 meV/atom.

a = 6.217 Å, b = 6.217 Å, c = 6.217 Å
α = 90.00°, β = 90.00°, γ = 90.00°
Space group Fm-3m (No. 225)
Unique sites:
Be 0.250 0.250 0.250 [8 per cell]
I 0.000 0.000 0.000 [4 per cell]
F 0.000 0.000 0.500 [4 per cell]

(3)
VASP calculation (GGA-PBE) on a relaxed KSrPt crystal.

Results
As for the formation energy: -0.2494 eV per atom.

a = 4.4749 Å, b = 4.4749 Å, c = 7.4848 Å
α = 90.00°, β = 90.00°, γ = 120.00°
Space group P3m1 (No. 156)
Unique sites:
K 0.0000 0.0000 0.0000 [1 per cell]
Sr 0.3333 0.6667 0.4542 [1 per cell]
Pt 0.6667 0.3333 0.2673 [1 per cell]

(4)
VASP calculation (GGA-PBE) on a relaxed TiCr2RhN crystal.

Results
For the uncorrected formation energy, the calculation gives -558 meV per atom.

a = 3.808 Å, b = 3.808 Å, c = 4.128 Å
α = 90.00°, β = 90.00°, γ = 90.00°
Space group P4/mmm (No. 123)
Unique sites:
Ti 0.000 0.000 0.000 [1 per cell]
Cr 0.000 0.500 0.500 [2 per cell]
Rh 0.500 0.500 0.000 [1 per cell]
N 0.000 0.000 0.500 [1 per cell]

Looking at raw total energy for the records above, in order, we have -4.008, -2.384, -3.189, -9.122 eV per atom.